Entry from Alexandria via LeMat-Bulk: LaYSc2O after structural relaxation (PBE-GGA).

Lattice parameters (Å, degrees): 4.546 4.546 5.401 90.00 90.00 90.00
Fractional coordinates of all 5 atoms:
La: 0.000 0.000 0.000
Y: 0.500 0.500 0.000
Sc: 0.000 0.500 0.500
Sc: 0.500 0.000 0.500
O: 0.000 0.000 0.500

## Properties
- Formation energy from raw total energies: -1.0680 eV per atom
- Raw total energy: -6.8706 eV/atom
- Magnetization: 0.83 μB per cell
- Calculated volume: 22.33 Å³ per atom